# Nd2DyTm4 (PBE, optimized geometry)
# VASP energy: -4.30 eV/atom
# M_tot: 0.0 Bohr magnetons per cell
data_Nd2DyTm4
_symmetry_space_group_name_H-M 'P 1'
_symmetry_Int_Tables_number 1
_cell_length_a 8.4139
_cell_length_b 8.4139
_cell_length_c 8.4139
_cell_angle_alpha 109.52
_cell_angle_beta 109.52
_cell_angle_gamma 109.37
loop_
_symmetry_equiv_pos_as_xyz
'x,y,z'
loop_
_atom_site_label
_atom_site_fract_x
_atom_site_fract_y
_atom_site_fract_z
Nd1 0.0012 0.1250 0.3762
Nd2 0.3750 0.9988 0.1238
Nd3 0.7488 0.6250 0.6238
Nd4 0.8750 0.2512 0.8762
Dy1 0.2500 0.7500 0.5000
Dy2 0.5000 0.5000 0.0000
Tm1 0.1261 0.0394 0.7501
Tm2 0.1259 0.5393 0.7499
Tm3 0.2893 0.3759 0.2499
Tm4 0.4607 0.2106 0.5867
Tm5 0.6239 0.8741 0.4133
Tm6 0.6241 0.8739 0.9133
Tm7 0.7894 0.3761 0.2501
Tm8 0.9606 0.7107 0.0867